(1)
# PBE SmTmGePd, relaxed
# **Size of the total moment**: 0.000 μB per atom
# **Distance to the lowest polymorph of the same formula**: 0.35 eV/f.u.
# **Calculated formation energy**: -0.783 eV per atom
# **SG**: F-43m (216)
data_SmTmGePd
_symmetry_space_group_name_H-M 'P 1'
_symmetry_Int_Tables_number 1
_cell_length_a 5.035
_cell_length_b 5.035
_cell_length_c 5.035
_cell_angle_alpha 60.00
_cell_angle_beta 60.00
_cell_angle_gamma 60.00
loop_
_symmetry_equiv_pos_as_xyz
'x,y,z'
loop_
_atom_site_label
_atom_site_fract_x
_atom_site_fract_y
_atom_site_fract_z
_atom_site_occupancy
Sm1 0.000 0.000 0.000 1
Tm1 0.500 0.500 0.500 1
Ge1 0.750 0.750 0.750 1
Pd1 0.250 0.250 0.250 1



(2)
# PBE SmYGePd, relaxed
# **Size of the total moment**: 0.000 μB per atom
# **Distance to the lowest polymorph of the same formula**: 0.35 eV/f.u.
# **Calculated formation energy**: -0.784 eV per atom
# **SG**: F-43m (216)
data_SmYGePd
_symmetry_space_group_name_H-M 'P 1'
_symmetry_Int_Tables_number 1
_cell_length_a 5.074
_cell_length_b 5.074
_cell_length_c 5.074
_cell_angle_alpha 60.00
_cell_angle_beta 60.00
_cell_angle_gamma 60.00
loop_
_symmetry_equiv_pos_as_xyz
'x,y,z'
loop_
_atom_site_label
_atom_site_fract_x
_atom_site_fract_y
_atom_site_fract_z
_atom_site_occupancy
Sm1 0.000 0.000 0.000 1
Y1 0.500 0.500 0.500 1
Ge1 0.250 0.250 0.250 1
Pd1 0.750 0.750 0.750 1



(3)
# PBE SmYGePd, relaxed
# **Size of the total moment**: 0.000 μB per atom
# **Distance to the lowest polymorph of the same formula**: 0.00 eV/f.u.
# **Calculated formation energy**: -0.872 eV per atom
# **SG**: Amm2 (38)
data_SmYGePd
_symmetry_space_group_name_H-M 'P 1'
_symmetry_Int_Tables_number 1
_cell_length_a 4.342
_cell_length_b 5.836
_cell_length_c 5.836
_cell_angle_alpha 40.01
_cell_angle_beta 90.00
_cell_angle_gamma 90.00
loop_
_symmetry_equiv_pos_as_xyz
'x,y,z'
loop_
_atom_site_label
_atom_site_fract_x
_atom_site_fract_y
_atom_site_fract_z
_atom_site_occupancy
Sm1 0.000 0.000 0.000 1
Y1 0.500 0.277 0.277 1
Ge1 0.500 0.560 0.560 1
Pd1 0.000 0.719 0.719 1



(4)
# PBE Sm2ZnGe4Pd3, relaxed
# **Size of the total moment**: 0.000 μB per atom
# **Calculated formation energy**: -0.736 eV per atom
# **SG**: P-4m2 (115)
data_Sm2ZnGe4Pd3
_symmetry_space_group_name_H-M 'P 1'
_symmetry_Int_Tables_number 1
_cell_length_a 4.216
_cell_length_b 4.216
_cell_length_c 10.727
_cell_angle_alpha 90.00
_cell_angle_beta 90.00
_cell_angle_gamma 90.00
loop_
_symmetry_equiv_pos_as_xyz
'x,y,z'
loop_
_atom_site_label
_atom_site_fract_x
_atom_site_fract_y
_atom_site_fract_z
_atom_site_occupancy
Sm1 0.000 0.500 0.247 1
Sm2 0.500 0.000 0.753 1
Zn1 0.500 0.500 0.000 1
Ge1 0.000 0.000 0.500 1
Ge2 0.000 0.500 0.862 1
Ge3 0.500 0.000 0.138 1
Ge4 0.500 0.500 0.500 1
Pd1 0.000 0.000 0.000 1
Pd2 0.000 0.500 0.632 1
Pd3 0.500 0.000 0.368 1



(5)
# PBE Sm2ZnGePd6, relaxed
# **Size of the total moment**: 0.000 μB per atom
# **Calculated formation energy**: -0.650 eV per atom
# **SG**: P-1 (2)
data_Sm2ZnGePd6
_symmetry_space_group_name_H-M 'P 1'
_symmetry_Int_Tables_number 1
_cell_length_a 5.493
_cell_length_b 6.452
_cell_length_c 6.522
_cell_angle_alpha 74.49
_cell_angle_beta 65.16
_cell_angle_gamma 64.86
loop_
_symmetry_equiv_pos_as_xyz
'x,y,z'
loop_
_atom_site_label
_atom_site_fract_x
_atom_site_fract_y
_atom_site_fract_z
_atom_site_occupancy
Sm1 0.001 0.247 0.253 1
Sm2 0.999 0.753 0.747 1
Zn1 0.500 0.000 0.500 1
Ge1 0.500 0.500 0.000 1
Pd1 0.004 0.693 0.298 1
Pd2 0.327 0.924 0.922 1
Pd3 0.495 0.308 0.701 1
Pd4 0.505 0.692 0.299 1
Pd5 0.673 0.076 0.078 1
Pd6 0.996 0.307 0.702 1



(6)
# PBE Sm3ZnGe6Pd2, relaxed
# **Size of the total moment**: 0.000 μB per atom
# **Calculated formation energy**: -0.414 eV per atom
# **SG**: P-3m1 (164)
data_Sm3ZnGe6Pd2
_symmetry_space_group_name_H-M 'P 1'
_symmetry_Int_Tables_number 1
_cell_length_a 5.889
_cell_length_b 5.889
_cell_length_c 8.404
_cell_angle_alpha 90.00
_cell_angle_beta 90.00
_cell_angle_gamma 120.00
loop_
_symmetry_equiv_pos_as_xyz
'x,y,z'
loop_
_atom_site_label
_atom_site_fract_x
_atom_site_fract_y
_atom_site_fract_z
_atom_site_occupancy
Sm1 0.000 0.000 0.000 1
Sm2 0.333 0.667 0.608 1
Sm3 0.667 0.333 0.392 1
Zn1 0.000 0.000 0.500 1
Ge1 0.185 0.370 0.273 1
Ge2 0.185 0.815 0.273 1
Ge3 0.370 0.185 0.727 1
Ge4 0.630 0.815 0.273 1
Ge5 0.815 0.185 0.727 1
Ge6 0.815 0.630 0.727 1
Pd1 0.333 0.667 0.017 1
Pd2 0.667 0.333 0.983 1



Q: Which formula does entry 4 have?
A: Sm2ZnGe4Pd3



Please write out number 3 again, unchanged.
# PBE SmYGePd, relaxed
# **Size of the total moment**: 0.000 μB per atom
# **Distance to the lowest polymorph of the same formula**: 0.00 eV/f.u.
# **Calculated formation energy**: -0.872 eV per atom
# **SG**: Amm2 (38)
data_SmYGePd
_symmetry_space_group_name_H-M 'P 1'
_symmetry_Int_Tables_number 1
_cell_length_a 4.342
_cell_length_b 5.836
_cell_length_c 5.836
_cell_angle_alpha 40.01
_cell_angle_beta 90.00
_cell_angle_gamma 90.00
loop_
_symmetry_equiv_pos_as_xyz
'x,y,z'
loop_
_atom_site_label
_atom_site_fract_x
_atom_site_fract_y
_atom_site_fract_z
_atom_site_occupancy
Sm1 0.000 0.000 0.000 1
Y1 0.500 0.277 0.277 1
Ge1 0.500 0.560 0.560 1
Pd1 0.000 0.719 0.719 1